(1)
Compound: Tm2RuSe
Source: Alexandria
Functional: PBE-GGA
Structure: relaxed

Geometry as POSCAR:
```
Tm2RuSe
1.0
-2.9359 2.2095 -0.3090
-2.1806 -0.2350 -2.9642
-5.9551 -4.4942 2.4437
Ru Tm Se
1 2 1
direct
0.0000 0.0000 0.0000
0.7473 0.7473 0.7581
0.2527 0.2527 0.2419
0.5000 0.5000 0.5000
```

Calculated values
ΔE_f (raw) = -0.89 eV per atom
ΔE to the lowest computed polymorph = 0.38 eV/f.u.
Symmetry = R-3m
Total magnetic moment = 0.000 μB per atom

=====

(2)
Compound: TmRuSe
Source: Alexandria
Functional: PBE-GGA
Structure: relaxed

Geometry as POSCAR:
```
TmRuSe
1.0
5.3299 0.5006 -0.9036
3.2525 4.2609 -0.8838
-3.2684 0.6173 6.0811
Se Tm Ru
2 2 2
direct
0.8190 0.0873 0.2321
0.1810 0.9127 0.7679
0.1902 0.3783 0.3126
0.8098 0.6217 0.6874
0.3565 0.6972 0.1593
0.6435 0.3028 0.8407
```

Calculated values
ΔE_f (raw) = -0.74 eV per atom
Symmetry = C2/m
Total magnetic moment = 0.000 μB per atom

=====

(3)
Compound: Tm4RuSe3
Source: Alexandria
Functional: PBE-GGA
Structure: relaxed

Geometry as POSCAR:
```
Tm4RuSe3
1.0
-3.1841 0.0492 -2.2709
4.0369 1.6776 -5.6240
-0.3574 -7.1058 0.3472
Ru Tm Se
1 4 3
direct
0.5000 0.0000 0.0000
0.0000 0.2309 0.2309
0.5000 0.7715 0.2285
0.0000 0.7691 0.7691
0.5000 0.2285 0.7715
0.0000 0.0000 0.5000
0.5000 0.5000 0.5000
0.0000 0.5000 0.0000
```

Calculated values
ΔE_f (raw) = -1.33 eV per atom
Symmetry = Cmmm
Total magnetic moment = 0.000 μB per atom

=====

(4)
Compound: Tm2RuSe
Source: Alexandria
Functional: PBE-GGA
Structure: relaxed

Geometry as POSCAR:
```
Tm2RuSe
1.0
3.4195 0.0000 0.0000
0.0000 3.4195 0.0000
0.0000 0.0000 7.1037
Ru Tm Se
1 2 1
direct
0.5000 0.5000 0.0000
0.0000 0.0000 0.7675
0.0000 0.0000 0.2325
0.5000 0.5000 0.5000
```

Calculated values
ΔE_f (raw) = -0.98 eV per atom
ΔE to the lowest computed polymorph = 0.00 eV/f.u.
Symmetry = P4/mmm
Total magnetic moment = 0.000 μB per atom

=====

(5)
Compound: URuSe2
Source: Alexandria
Functional: PBE-GGA
Structure: relaxed

Geometry as POSCAR:
```
URuSe2
1.0
-2.9238 0.8512 0.7073
-2.3139 -0.5133 -2.0385
-3.2442 -8.1827 3.3457
Ru U Se
1 1 2
direct
0.0000 0.0000 0.0000
0.5000 0.5000 0.5000
0.0854 0.0854 0.7437
0.9146 0.9146 0.2563
```

Calculated values
ΔE_f (raw) = 0.06 eV per atom
Symmetry = R-3m
Total magnetic moment = 0.257 μB per atom

=====

(6)
Compound: U2RuSe
Source: Alexandria
Functional: PBE-GGA
Structure: relaxed

Geometry as POSCAR:
```
U2RuSe
1.0
3.9119 0.0000 0.0000
1.9559 3.3878 0.0000
1.9559 1.1293 6.9323
Ru U Se
1 2 1
direct
0.0000 0.0000 0.0000
0.7414 0.7414 0.7757
0.2586 0.2586 0.2243
0.5000 0.5000 0.5000
```

Calculated values
ΔE_f (raw) = -0.47 eV per atom
Symmetry = R-3m
Total magnetic moment = 1.092 μB per atom

=====

(7)
Compound: VRuSe2
Source: Alexandria
Functional: PBE-GGA
Structure: relaxed

Geometry as POSCAR:
```
VRuSe2
1.0
2.0127 0.0000 7.9235
-1.0063 1.7430 7.9235
-1.0063 -1.7430 7.9235
Ru Se V
1 2 1
direct
0.5000 0.5000 0.5000
0.8961 0.8961 0.8961
0.1039 0.1039 0.1039
0.0000 0.0000 0.0000
```

Calculated values
ΔE_f (raw) = 0.23 eV per atom
ΔE to the lowest computed polymorph = 2.65 eV/f.u.
Symmetry = R-3m
Total magnetic moment = 0.670 μB per atom

=====

(8)
Compound: VRuSe4
Source: Alexandria
Functional: PBE-GGA
Structure: relaxed

Geometry as POSCAR:
```
VRuSe4
1.0
-1.3450 -0.6224 -3.0736
-3.8221 -3.4293 2.3671
-8.5078 10.1234 1.6730
V Ru Se
2 2 8
direct
0.5000 0.5000 0.5000
0.0000 0.0000 0.0000
0.0000 0.0000 0.5000
0.5000 0.5000 0.0000
0.5000 0.1688 0.3803
0.0000 0.3312 0.1196
0.5000 0.8312 0.6197
0.0000 0.6688 0.8804
0.0000 0.6663 0.3799
0.5000 0.8337 0.1201
0.0000 0.3337 0.6201
0.5000 0.1663 0.8799
```

Calculated values
ΔE_f (raw) = -0.44 eV per atom
ΔE to the lowest computed polymorph = 0.58 eV/f.u.
Symmetry = C2/m
Total magnetic moment = 0.000 μB per atom

=====

(9)
Compound: VRuSe2
Source: Alexandria
Functional: PBE-GGA
Structure: relaxed

Geometry as POSCAR:
```
VRuSe2
1.0
3.3890 -2.7861 -0.1458
0.7029 -2.7771 3.3260
-0.7133 -4.2974 -0.5408
Ru Se V
1 2 1
direct
0.5000 0.5000 0.5000
0.2500 0.2500 0.2500
0.7500 0.7500 0.7500
0.0000 0.0000 0.0000
```

Calculated values
ΔE_f (raw) = -0.03 eV per atom
ΔE to the lowest computed polymorph = 1.63 eV/f.u.
Symmetry = Fm-3m
Total magnetic moment = 0.000 μB per atom

=====

(10)
Compound: VRuSe2
Source: Alexandria
Functional: PBE-GGA
Structure: relaxed

Geometry as POSCAR:
```
VRuSe2
1.0
-1.5025 2.6718 -2.1696
-2.6572 0.6041 2.5841
3.7234 4.3729 2.8065
Ru Se V
1 2 1
direct
0.0000 0.0000 0.0000
0.0000 0.5000 0.7445
0.5000 0.0000 0.2555
0.5000 0.5000 0.0000
```

Calculated values
ΔE_f (raw) = -0.43 eV per atom
ΔE to the lowest computed polymorph = 0.02 eV/f.u.
Symmetry = P-4m2
Total magnetic moment = 0.112 μB per atom

=====

(11)
Compound: VRuSe2
Source: Alexandria
Functional: PBE-GGA
Structure: relaxed

Geometry as POSCAR:
```
VRuSe2
1.0
-3.7917 -3.8777 4.5306
2.5620 -1.9775 0.4516
6.8783 10.7200 7.9187
Ru Se V
4 8 4
direct
0.8052 0.0000 0.8644
0.8052 0.5000 0.3644
0.4740 0.0000 0.2877
0.4740 0.5000 0.7877
0.4989 0.0000 0.9162
0.4989 0.5000 0.4162
0.1089 0.0000 0.1889
0.1089 0.5000 0.6889
0.0799 0.0000 0.4377
0.0799 0.5000 0.9377
0.5543 0.0000 0.6591
0.5543 0.5000 0.1591
0.8144 0.0000 0.2485
0.8144 0.5000 0.7485
0.1550 0.0000 0.8194
0.1550 0.5000 0.3194
```

Calculated values
ΔE_f (raw) = -0.43 eV per atom
ΔE to the lowest computed polymorph = 0.00 eV/f.u.
Symmetry = Cm
Total magnetic moment = 0.000 μB per atom

=====

(12)
Compound: VRuSe2
Source: Alexandria
Functional: PBE-GGA
Structure: relaxed

Geometry as POSCAR:
```
VRuSe2
1.0
-5.0032 1.6733 -1.5362
-1.9181 -5.1028 0.6887
-4.7358 -0.4957 5.0572
Ru Se V
2 4 2
direct
0.0000 0.0000 0.0000
0.7500 0.2500 0.5000
0.6292 0.1250 0.2500
0.1208 0.6250 0.2500
0.3750 0.3708 0.7500
0.8750 0.8792 0.7500
0.5000 0.5000 0.0000
0.2500 0.7500 0.5000
```

Calculated values
ΔE_f (raw) = -0.04 eV per atom
ΔE to the lowest computed polymorph = 1.56 eV/f.u.
Symmetry = I-42d
Total magnetic moment = 0.476 μB per atom